# Ba2NaCd2 GGA-PBE optimized geometry
data_Ba2NaCd2
_symmetry_space_group_name_H-M 'P 4/m b m'
_symmetry_Int_Tables_number 127
_symmetry_space_group_name_Hall '-P 4 2ab'
_cell_length_a 10.0493
_cell_length_b 10.0493
_cell_length_c 4.0903
_cell_angle_alpha 90.00
_cell_angle_beta 90.00
_cell_angle_gamma 90.00
loop_
_atom_site_label
_atom_site_type_symbol
_atom_site_fract_x
_atom_site_fract_y
_atom_site_fract_z
Ba1 Ba 0.1450 0.3550 0.0000
Na1 Na 0.0000 0.0000 0.0000
Cd1 Cd 0.1476 0.6476 0.5000
# - DOS(E_F): 0.905 states/eV/atom
# - Uncorrected energy: -1.512 eV/atom
# - Energy of formation: -0.113 eV per atom
# - ΔE to the lowest computed polymorph: 107 meV per atom

---

# BaNa3Cd GGA-PBE optimized geometry
data_BaNa3Cd
_symmetry_space_group_name_H-M 'C m m m'
_symmetry_Int_Tables_number 65
_symmetry_space_group_name_Hall '-C 2 2'
_cell_length_a 5.0859
_cell_length_b 33.2421
_cell_length_c 4.7142
_cell_angle_alpha 90.00
_cell_angle_beta 90.00
_cell_angle_gamma 90.00
loop_
_atom_site_label
_atom_site_type_symbol
_atom_site_fract_x
_atom_site_fract_y
_atom_site_fract_z
Ba1 Ba 0.0000 0.1548 0.0000
Na1 Na 0.0000 0.0531 0.5000
Na2 Na 0.0000 0.2815 0.5000
Na3 Na 0.0000 0.4482 0.0000
Cd1 Cd 0.0000 0.3810 0.5000
# - DOS(E_F): 0.644 states/eV/atom
# - Uncorrected energy: -1.427 eV/atom
# - Energy of formation: -0.068 eV per atom
# - ΔE to the lowest computed polymorph: 0 meV per atom

---

# Ba2Na3Cd GGA-PBE optimized geometry
data_Ba2Na3Cd
_symmetry_space_group_name_H-M 'P m m 2'
_symmetry_Int_Tables_number 25
_symmetry_space_group_name_Hall 'P 2 -2'
_cell_length_a 4.3752
_cell_length_b 5.7203
_cell_length_c 10.2446
_cell_angle_alpha 90.00
_cell_angle_beta 90.00
_cell_angle_gamma 90.00
loop_
_atom_site_label
_atom_site_type_symbol
_atom_site_fract_x
_atom_site_fract_y
_atom_site_fract_z
Ba1 Ba 0.0000 0.0000 0.0000
Ba2 Ba 0.0000 0.5000 0.4282
Na1 Na 0.5000 0.0000 0.6199
Na2 Na 0.5000 0.5000 0.1283
Na3 Na 0.5000 0.5000 0.7923
Cd1 Cd 0.5000 0.0000 0.2950
# - DOS(E_F): 0.727 states/eV/atom
# - Uncorrected energy: -1.520 eV/atom
# - Energy of formation: -0.067 eV per atom

---

# BaNaCd3 GGA-PBE optimized geometry
data_BaNaCd3
_symmetry_space_group_name_H-M 'P 63/m m c'
_symmetry_Int_Tables_number 194
_symmetry_space_group_name_Hall '-P 6c 2c'
_cell_length_a 7.6197
_cell_length_b 7.6197
_cell_length_c 6.4298
_cell_angle_alpha 90.00
_cell_angle_beta 90.00
_cell_angle_gamma 120.00
loop_
_atom_site_label
_atom_site_type_symbol
_atom_site_fract_x
_atom_site_fract_y
_atom_site_fract_z
Ba1 Ba 0.3333 0.6667 0.2500
Na1 Na 0.0000 0.0000 0.0000
Cd1 Cd 0.2006 0.4011 0.7500
# - DOS(E_F): 0.859 states/eV/atom
# - Uncorrected energy: -1.331 eV/atom
# - Energy of formation: -0.134 eV per atom
# - ΔE to the lowest computed polymorph: 69 meV per atom

---

# BaNa4Cd2 GGA-PBE optimized geometry
data_BaNa4Cd2
_symmetry_space_group_name_H-M 'C m m m'
_symmetry_Int_Tables_number 65
_symmetry_space_group_name_Hall '-C 2 2'
_cell_length_a 4.9329
_cell_length_b 20.3872
_cell_length_c 4.8741
_cell_angle_alpha 90.00
_cell_angle_beta 90.00
_cell_angle_gamma 90.00
loop_
_atom_site_label
_atom_site_type_symbol
_atom_site_fract_x
_atom_site_fract_y
_atom_site_fract_z
Ba1 Ba 0.0000 0.0000 0.0000
Na1 Na 0.0000 0.1771 0.5000
Na2 Na 0.0000 0.3220 0.0000
Cd1 Cd 0.0000 0.4266 0.5000
# - DOS(E_F): 0.468 states/eV/atom
# - Uncorrected energy: -1.402 eV/atom
# - Energy of formation: -0.112 eV per atom

---

# BaNa3Cd GGA-PBE optimized geometry
data_BaNa3Cd
_symmetry_space_group_name_H-M 'C 1 2/c 1'
_symmetry_Int_Tables_number 15
_symmetry_space_group_name_Hall '-C 2yc'
_cell_length_a 19.0543
_cell_length_b 11.1329
_cell_length_c 7.3981
_cell_angle_alpha 90.00
_cell_angle_beta 100.93
_cell_angle_gamma 90.00
loop_
_atom_site_label
_atom_site_type_symbol
_atom_site_fract_x
_atom_site_fract_y
_atom_site_fract_z
Ba1 Ba 0.0000 0.0571 0.2500
Ba2 Ba 0.0000 0.3546 0.7500
Na1 Na 0.1730 0.1671 0.0762
Na2 Na 0.1769 0.1666 0.5946
Na3 Na 0.1849 0.4989 0.5963
Cd1 Cd 0.0802 0.3414 0.2955
# - DOS(E_F): 0.530 states/eV/atom
# - Uncorrected energy: -1.427 eV/atom
# - Energy of formation: -0.068 eV per atom
# - ΔE to the lowest computed polymorph: 1 meV per atom

---

# Ba3Na3Cd8 GGA-PBE optimized geometry
data_Ba3Na3Cd8
_symmetry_space_group_name_H-M 'I m m m'
_symmetry_Int_Tables_number 71
_symmetry_space_group_name_Hall '-I 2 2'
_cell_length_a 5.3264
_cell_length_b 10.3315
_cell_length_c 16.0975
_cell_angle_alpha 90.00
_cell_angle_beta 90.00
_cell_angle_gamma 90.00
loop_
_atom_site_label
_atom_site_type_symbol
_atom_site_fract_x
_atom_site_fract_y
_atom_site_fract_z
Ba1 Ba 0.0000 0.0000 0.0000
Ba2 Ba 0.0000 0.0000 0.2901
Na1 Na 0.0000 0.2050 0.5000
Na2 Na 0.0000 0.5000 0.0000
Cd1 Cd 0.0000 0.2810 0.1465
Cd2 Cd 0.0000 0.3569 0.3322
# - DOS(E_F): 0.727 states/eV/atom
# - Uncorrected energy: -1.451 eV/atom
# - Energy of formation: -0.233 eV per atom

---

# Ba3NaCd GGA-PBE optimized geometry
data_Ba3NaCd
_symmetry_space_group_name_H-M 'C m c e'
_symmetry_Int_Tables_number 64
_symmetry_space_group_name_Hall '-C 2ac 2'
_cell_length_a 17.6910
_cell_length_b 13.7890
_cell_length_c 8.7580
_cell_angle_alpha 90.00
_cell_angle_beta 90.00
_cell_angle_gamma 90.00
loop_
_atom_site_label
_atom_site_type_symbol
_atom_site_fract_x
_atom_site_fract_y
_atom_site_fract_z
Ba1 Ba 0.0000 0.0565 0.2261
Ba2 Ba 0.1418 0.1878 0.6054
Na1 Na 0.2500 0.0569 0.2500
Cd1 Cd 0.0000 0.1996 0.8862
# - DOS(E_F): 0.974 states/eV/atom
# - Uncorrected energy: -1.656 eV/atom
# - Energy of formation: -0.056 eV per atom
# - ΔE to the lowest computed polymorph: 37 meV per atom

---

# Ba5Na2Cd2 GGA-PBE optimized geometry
data_Ba5Na2Cd2
_symmetry_space_group_name_H-M 'C m c e'
_symmetry_Int_Tables_number 64
_symmetry_space_group_name_Hall '-C 2ac 2'
_cell_length_a 19.7019
_cell_length_b 9.4925
_cell_length_c 9.4872
_cell_angle_alpha 90.00
_cell_angle_beta 90.00
_cell_angle_gamma 90.00
loop_
_atom_site_label
_atom_site_type_symbol
_atom_site_fract_x
_atom_site_fract_y
_atom_site_fract_z
Ba1 Ba 0.0000 0.0000 0.0000
Ba2 Ba 0.1198 0.1819 0.3183
Na1 Na 0.2212 0.0000 0.0000
Cd1 Cd 0.0000 0.1135 0.6133
# - DOS(E_F): 0.964 states/eV/atom
# - Uncorrected energy: -1.678 eV/atom
# - Energy of formation: -0.113 eV per atom

---

# Ba3Na2Cd4 GGA-PBE optimized geometry
data_Ba3Na2Cd4
_symmetry_space_group_name_H-M 'C 1 2/m 1'
_symmetry_Int_Tables_number 12
_symmetry_space_group_name_Hall '-C 2y'
_cell_length_a 12.8747
_cell_length_b 5.4173
_cell_length_c 10.2982
_cell_angle_alpha 90.00
_cell_angle_beta 112.75
_cell_angle_gamma 90.00
loop_
_atom_site_label
_atom_site_type_symbol
_atom_site_fract_x
_atom_site_fract_y
_atom_site_fract_z
Ba1 Ba 0.0000 0.0000 0.0000
Ba2 Ba 0.1440 0.5000 0.6915
Na1 Na 0.1615 0.5000 0.3259
Cd1 Cd 0.0706 0.0000 0.4087
Cd2 Cd 0.2324 0.5000 0.0598
# - DOS(E_F): 0.710 states/eV/atom
# - Uncorrected energy: -1.547 eV/atom
# - Energy of formation: -0.206 eV per atom

---

# BaNa3Cd GGA-PBE optimized geometry
data_BaNa3Cd
_symmetry_space_group_name_H-M 'P m -3 m'
_symmetry_Int_Tables_number 221
_symmetry_space_group_name_Hall '-P 4 2 3'
_cell_length_a 5.9430
_cell_length_b 5.9430
_cell_length_c 5.9430
_cell_angle_alpha 90.00
_cell_angle_beta 90.00
_cell_angle_gamma 90.00
loop_
_atom_site_label
_atom_site_type_symbol
_atom_site_fract_x
_atom_site_fract_y
_atom_site_fract_z
Ba1 Ba 0.0000 0.0000 0.0000
Na1 Na 0.0000 0.5000 0.5000
Cd1 Cd 0.5000 0.5000 0.5000
# - DOS(E_F): 0.686 states/eV/atom
# - Uncorrected energy: -1.303 eV/atom
# - Energy of formation: 0.056 eV per atom
# - ΔE to the lowest computed polymorph: 125 meV per atom

---

# Ba6Na3Cd GGA-PBE optimized geometry
data_Ba6Na3Cd
_symmetry_space_group_name_H-M 'P n n m'
_symmetry_Int_Tables_number 58
_symmetry_space_group_name_Hall '-P 2 2n'
_cell_length_a 11.3741
_cell_length_b 13.9943
_cell_length_c 6.5145
_cell_angle_alpha 90.00
_cell_angle_beta 90.00
_cell_angle_gamma 90.00
loop_
_atom_site_label
_atom_site_type_symbol
_atom_site_fract_x
_atom_site_fract_y
_atom_site_fract_z
Ba1 Ba 0.0087 0.2420 0.0000
Ba2 Ba 0.1523 0.0773 0.5000
Ba3 Ba 0.1876 0.4234 0.5000
Na1 Na 0.0000 0.5000 0.0000
Na2 Na 0.1593 0.7368 0.5000
Cd1 Cd 0.0000 0.0000 0.0000
# - DOS(E_F): 1.347 states/eV/atom
# - Uncorrected energy: -1.647 eV/atom
# - Energy of formation: -0.007 eV per atom

---

# Ba6Na5Cd GGA-PBE optimized geometry
data_Ba6Na5Cd
_symmetry_space_group_name_H-M 'P 1 2/m 1'
_symmetry_Int_Tables_number 10
_symmetry_space_group_name_Hall '-P 2y'
_cell_length_a 6.4446
_cell_length_b 9.2429
_cell_length_c 10.2058
_cell_angle_alpha 90.00
_cell_angle_beta 108.10
_cell_angle_gamma 90.00
loop_
_atom_site_label
_atom_site_type_symbol
_atom_site_fract_x
_atom_site_fract_y
_atom_site_fract_z
Ba1 Ba 0.0000 0.2265 0.0000
Ba2 Ba 0.3492 0.2367 0.6911
Na1 Na 0.1672 0.5000 0.3432
Na2 Na 0.1710 0.0000 0.3512
Na3 Na 0.5000 0.5000 0.0000
Cd1 Cd 0.5000 0.0000 0.0000
# - DOS(E_F): 1.162 states/eV/atom
# - Uncorrected energy: -1.634 eV/atom
# - Energy of formation: -0.047 eV per atom

---

# Ba2NaCd GGA-PBE optimized geometry
data_Ba2NaCd
_symmetry_space_group_name_H-M 'R -3 m'
_symmetry_Int_Tables_number 166
_symmetry_space_group_name_Hall '-R 3 2"'
_cell_length_a 4.1389
_cell_length_b 4.1389
_cell_length_c 41.4772
_cell_angle_alpha 90.00
_cell_angle_beta 90.00
_cell_angle_gamma 120.00
loop_
_atom_site_label
_atom_site_type_symbol
_atom_site_fract_x
_atom_site_fract_y
_atom_site_fract_z
Ba1 Ba 0.0000 0.0000 0.0855
Na1 Na 0.0000 0.0000 0.5000
Cd1 Cd 0.0000 0.0000 0.0000
# - DOS(E_F): 1.225 states/eV/atom
# - Uncorrected energy: -1.297 eV/atom
# - Energy of formation: 0.223 eV per atom

---

# Ba5NaCd2 GGA-PBE optimized geometry
data_Ba5NaCd2
_symmetry_space_group_name_H-M 'I 4/m c m'
_symmetry_Int_Tables_number 140
_symmetry_space_group_name_Hall '-I 4 2c'
_cell_length_a 9.7236
_cell_length_b 9.7236
_cell_length_c 16.6195
_cell_angle_alpha 90.00
_cell_angle_beta 90.00
_cell_angle_gamma 90.00
loop_
_atom_site_label
_atom_site_type_symbol
_atom_site_fract_x
_atom_site_fract_y
_atom_site_fract_z
Ba1 Ba 0.0000 0.0000 0.0000
Ba2 Ba 0.1587 0.3413 0.1370
Na1 Na 0.0000 0.0000 0.2500
Cd1 Cd 0.1294 0.3706 0.5000
# - DOS(E_F): 1.293 states/eV/atom
# - Uncorrected energy: -1.752 eV/atom
# - Energy of formation: -0.157 eV per atom

---

# Ba3NaCd GGA-PBE optimized geometry
data_Ba3NaCd
_symmetry_space_group_name_H-M 'P 1 21/m 1'
_symmetry_Int_Tables_number 11
_symmetry_space_group_name_Hall '-P 2yb'
_cell_length_a 9.6761
_cell_length_b 5.4254
_cell_length_c 10.2858
_cell_angle_alpha 90.00
_cell_angle_beta 111.13
_cell_angle_gamma 90.00
loop_
_atom_site_label
_atom_site_type_symbol
_atom_site_fract_x
_atom_site_fract_y
_atom_site_fract_z
Ba1 Ba 0.0421 0.2500 0.2252
Ba2 Ba 0.3232 0.2500 0.9273
Ba3 Ba 0.3353 0.7500 0.5930
Na1 Na 0.3300 0.7500 0.1991
Cd1 Cd 0.0616 0.2500 0.5806
# - DOS(E_F): 1.103 states/eV/atom
# - Uncorrected energy: -1.694 eV/atom
# - Energy of formation: -0.093 eV per atom
# - ΔE to the lowest computed polymorph: 0 meV per atom

---

# Ba3Na2Cd7 GGA-PBE optimized geometry
data_Ba3Na2Cd7
_symmetry_space_group_name_H-M 'R -3 m'
_symmetry_Int_Tables_number 166
_symmetry_space_group_name_Hall '-R 3 2"'
_cell_length_a 6.3994
_cell_length_b 6.3994
_cell_length_c 31.2085
_cell_angle_alpha 90.00
_cell_angle_beta 90.00
_cell_angle_gamma 120.00
loop_
_atom_site_label
_atom_site_type_symbol
_atom_site_fract_x
_atom_site_fract_y
_atom_site_fract_z
Ba1 Ba 0.0000 0.0000 0.0000
Ba2 Ba 0.0000 0.0000 0.1407
Na1 Na 0.0000 0.0000 0.3336
Cd1 Cd 0.0000 0.0000 0.5000
Cd2 Cd 0.0027 0.5014 0.9160
# - DOS(E_F): 0.865 states/eV/atom
# - Uncorrected energy: -1.454 eV/atom
# - Energy of formation: -0.219 eV per atom

---

# BaNa4Cd GGA-PBE optimized geometry
data_BaNa4Cd
_symmetry_space_group_name_H-M 'F -4 3 m'
_symmetry_Int_Tables_number 216
_symmetry_space_group_name_Hall 'F -4 2 3'
_cell_length_a 9.4792
_cell_length_b 9.4792
_cell_length_c 9.4792
_cell_angle_alpha 90.00
_cell_angle_beta 90.00
_cell_angle_gamma 90.00
loop_
_atom_site_label
_atom_site_type_symbol
_atom_site_fract_x
_atom_site_fract_y
_atom_site_fract_z
Ba1 Ba 0.0000 0.0000 0.0000
Na1 Na 0.1233 0.1233 0.3767
Cd1 Cd 0.2500 0.2500 0.7500
# - DOS(E_F): 1.105 states/eV/atom
# - Uncorrected energy: -1.321 eV/atom
# - Energy of formation: 0.031 eV per atom
# - ΔE to the lowest computed polymorph: 73 meV per atom

---

# Ba2NaCd6 GGA-PBE optimized geometry
data_Ba2NaCd6
_symmetry_space_group_name_H-M 'P 6/m m m'
_symmetry_Int_Tables_number 191
_symmetry_space_group_name_Hall '-P 6 2'
_cell_length_a 8.9632
_cell_length_b 8.9632
_cell_length_c 4.1329
_cell_angle_alpha 90.00
_cell_angle_beta 90.00
_cell_angle_gamma 120.00
loop_
_atom_site_label
_atom_site_type_symbol
_atom_site_fract_x
_atom_site_fract_y
_atom_site_fract_z
Ba1 Ba 0.3333 0.6667 0.0000
Na1 Na 0.0000 0.0000 0.0000
Cd1 Cd 0.0000 0.3244 0.5000
# - DOS(E_F): 0.566 states/eV/atom
# - Uncorrected energy: -1.416 eV/atom
# - Energy of formation: -0.232 eV per atom

---

# Ba2NaCd9 GGA-PBE optimized geometry
data_Ba2NaCd9
_symmetry_space_group_name_H-M 'R -3 m'
_symmetry_Int_Tables_number 166
_symmetry_space_group_name_Hall '-R 3 2"'
_cell_length_a 6.3250
_cell_length_b 6.3250
_cell_length_c 29.8454
_cell_angle_alpha 90.00
_cell_angle_beta 90.00
_cell_angle_gamma 120.00
loop_
_atom_site_label
_atom_site_type_symbol
_atom_site_fract_x
_atom_site_fract_y
_atom_site_fract_z
Ba1 Ba 0.0000 0.0000 0.1413
Na1 Na 0.0000 0.0000 0.0000
Cd1 Cd 0.0000 0.0000 0.3349
Cd2 Cd 0.0000 0.0000 0.5000
Cd3 Cd 0.0056 0.5028 0.9186
# - DOS(E_F): 0.474 states/eV/atom
# - Uncorrected energy: -1.293 eV/atom
# - Energy of formation: -0.176 eV per atom

---

# BaNa10Cd2 GGA-PBE optimized geometry
data_BaNa10Cd2
_symmetry_space_group_name_H-M 'F m m m'
_symmetry_Int_Tables_number 69
_symmetry_space_group_name_Hall '-F 2 2'
_cell_length_a 6.4933
_cell_length_b 16.3288
_cell_length_c 17.1517
_cell_angle_alpha 90.00
_cell_angle_beta 90.00
_cell_angle_gamma 90.00
loop_
_atom_site_label
_atom_site_type_symbol
_atom_site_fract_x
_atom_site_fract_y
_atom_site_fract_z
Ba1 Ba 0.0000 0.0000 0.0000
Na1 Na 0.0000 0.1114 0.3982
Na2 Na 0.0000 0.1836 0.1664
Na3 Na 0.2500 0.0000 0.2500
Cd1 Cd 0.2500 0.2500 0.0000
# - DOS(E_F): 0.461 states/eV/atom
# - Uncorrected energy: -1.336 eV/atom
# - Energy of formation: -0.033 eV per atom